1.
The following is a PBE calculation of crystalline K2RbMoI6 at its relaxed geometry, from the Alexandria database.

abc: 8.8273 8.8273 8.8273
angles: 60.00 60.00 60.00
Closest atoms and distances in Å follow each position.
Sites, in units of the cell vectors:
K1 0.2500 0.2500 0.2500  12 I 4.42
K2 0.7500 0.7500 0.7500  12 I 4.42
Rb1 0.0000 0.0000 0.0000  6 I 3.44
Mo1 0.5000 0.5000 0.5000  6 I 2.81
I1 0.2752 0.2752 0.7248  1 Mo 2.81
I2 0.2752 0.7248 0.2752  1 Mo 2.81
I3 0.2752 0.7248 0.7248  1 Mo 2.81
I4 0.7248 0.2752 0.2752  1 Mo 2.81
I5 0.7248 0.2752 0.7248  1 Mo 2.81
I6 0.7248 0.7248 0.2752  1 Mo 2.81

Output
raw formation energy: -0.85 eV/atom

=====

2.
The following is a PBE calculation of crystalline PrThPtS at its relaxed geometry, from the Alexandria database.

abc: 4.0749 4.0749 22.2213
angles: 90.00 90.00 120.00
Closest atoms and distances in Å follow each position.
Sites, in units of the cell vectors:
Pr1 0.0000 0.0000 0.0000  3 Pt 3.00, 3 S 3.10
Pr2 0.3333 0.6667 0.6667  3 Pt 3.00, 3 S 3.10
Pr3 0.6667 0.3333 0.3333  3 Pt 3.00, 3 S 3.10
Th1 0.0000 0.0000 0.8243  3 Pt 2.86, 3 S 3.02
Th2 0.3333 0.6667 0.4909  3 Pt 2.86, 3 S 3.02
Th3 0.6667 0.3333 0.1576  3 Pt 2.86, 3 S 3.02
Pt1 0.0000 0.0000 0.4174  3 Th 2.86, 3 Pr 3.00
Pt2 0.3333 0.6667 0.0841  3 Th 2.86, 3 Pr 3.00
Pt3 0.6667 0.3333 0.7507  3 Th 2.86, 3 Pr 3.00
S1 0.0000 0.0000 0.2428  3 Th 3.02, 3 Pr 3.10
S2 0.3333 0.6667 0.9094  3 Th 3.02, 3 Pr 3.10
S3 0.6667 0.3333 0.5761  3 Th 3.02, 3 Pr 3.10

Output
raw formation energy: -1.39 eV/atom

=====

3.
The following is a PBE calculation of crystalline SrAl2Ni at its relaxed geometry, from the Alexandria database.

abc: 5.3068 5.3068 14.8921
angles: 90.00 90.00 90.00
Closest atoms and distances in Å follow each position.
Sites, in units of the cell vectors:
Sr1 0.0000 0.2500 0.3750  8 Al 3.50, 4 Ni 3.75
Sr2 0.0000 0.7500 0.6250  8 Al 3.50, 4 Ni 3.75
Sr3 0.5000 0.2500 0.1250  8 Al 3.50, 4 Ni 3.75
Sr4 0.5000 0.7500 0.8750  8 Al 3.50, 4 Ni 3.75
Al1 0.0000 0.0000 0.0000  2 Ni 2.29
Al2 0.0000 0.5000 0.0000  2 Ni 2.29
Al3 0.2500 0.2500 0.7500  2 Ni 2.29
Al4 0.2500 0.7500 0.2500  2 Ni 2.29
Al5 0.5000 0.0000 0.5000  2 Ni 2.29
Al6 0.5000 0.5000 0.5000  2 Ni 2.29
Al7 0.7500 0.2500 0.7500  2 Ni 2.29
Al8 0.7500 0.7500 0.2500  2 Ni 2.29
Ni1 0.0000 0.2500 0.8750  4 Al 2.29
Ni2 0.0000 0.7500 0.1250  4 Al 2.29
Ni3 0.5000 0.2500 0.6250  4 Al 2.29
Ni4 0.5000 0.7500 0.3750  4 Al 2.29

Output
formation enthalpy at 0 K: -0.09 eV/atom

=====

4.
The following is a PBE calculation of crystalline Na2TaPPt at its relaxed geometry, from the Alexandria database.

abc: 4.7841 4.7841 4.7720
angles: 90.00 90.00 90.00
Closest atoms and distances in Å follow each position.
Sites, in units of the cell vectors:
Na1 0.0000 0.5000 0.0000  2 P 2.39
Na2 0.5000 0.0000 0.0000  2 P 2.39
Ta1 0.0000 0.0000 0.5000  2 P 2.39
P1 0.0000 0.0000 0.0000  2 Ta 2.39, 4 Na 2.39
Pt1 0.5000 0.5000 0.5000  8 Na 3.38, 4 Ta 3.38

Output
formation enthalpy at 0 K: 0.51 eV/atom

=====

5.
The following is a PBE calculation of crystalline CeSnPd6 at its relaxed geometry, from the Alexandria database.

abc: 7.6426 7.6426 7.6426
angles: 41.73 41.73 41.73
Closest atoms and distances in Å follow each position.
Sites, in units of the cell vectors:
Ce1 0.0000 0.0000 0.0000  12 Pd 3.05
Sn1 0.5000 0.5000 0.5000  6 Pd 2.65
Pd1 0.0597 0.5685 0.5685  1 Sn 2.65, 5 Pd 2.67-2.77
Pd2 0.4315 0.4315 0.9403  1 Sn 2.65, 5 Pd 2.67-2.77
Pd3 0.4315 0.9403 0.4315  1 Sn 2.65, 5 Pd 2.67-2.77
Pd4 0.5685 0.0597 0.5685  1 Sn 2.65, 5 Pd 2.67-2.77
Pd5 0.5685 0.5685 0.0597  1 Sn 2.65, 5 Pd 2.67-2.77
Pd6 0.9403 0.4315 0.4315  1 Sn 2.65, 5 Pd 2.67-2.77

Output
excess energy over the best structure of this formula in the dataset: 377.9 meV per atom
formation enthalpy at 0 K: -0.28 eV/atom

=====

6.
The following is a PBE calculation of crystalline La3Pm4Te8 at its relaxed geometry, from the Alexandria database.

abc: 9.0133 9.0133 8.9826
angles: 119.87 119.87 90.02
Closest atoms and distances in Å follow each position.
Sites, in units of the cell vectors:
La1 0.0000 0.0000 0.0000  6 Te 3.22
La2 0.0000 0.5000 0.0000  6 Te 3.19
La3 0.5000 0.0000 0.0000  6 Te 3.19
Pm1 0.0000 0.5000 0.5000  6 Te 3.19
Pm2 0.5000 0.0000 0.5000  6 Te 3.19
Pm3 0.5000 0.5000 0.0000  6 Te 3.15-3.16
Pm4 0.5000 0.5000 0.5000  6 Te 3.22-3.23
Te1 0.2471 0.7529 0.5000  3 Pm 3.19-3.22, 2 La 3.19
Te2 0.2490 0.2490 0.5046  4 Pm 3.16-3.23, 1 La 3.22
Te3 0.2500 0.2500 0.9951  2 Pm 3.15-3.22, 3 La 3.19-3.22
Te4 0.2523 0.7477 0.0000  3 Pm 3.16-3.19, 3 La 3.19-3.22
Te5 0.7477 0.2523 0.0000  3 Pm 3.16-3.19, 3 La 3.19-3.22
Te6 0.7500 0.7500 0.0049  2 Pm 3.15-3.22, 3 La 3.19-3.22
Te7 0.7510 0.7510 0.4954  4 Pm 3.16-3.23, 1 La 3.22
Te8 0.7529 0.2471 0.5000  3 Pm 3.19-3.22, 2 La 3.19

Output
raw formation energy: -1.52 eV/atom